# 1
CoRe2Te after structural relaxation. Source: the Alexandria database, functional PBE.

abc: 6.3359 6.3359 6.3359
angles: 90.00 90.00 90.00
Atoms (fractional coordinates):
Co: 0.0000 0.0000 0.0000
Co: 0.0000 0.5000 0.5000
Co: 0.5000 0.0000 0.5000
Co: 0.5000 0.5000 0.0000
Re: 0.0000 0.0000 0.5000
Re: 0.0000 0.5000 0.0000
Re: 0.2500 0.2500 0.7500
Re: 0.2500 0.7500 0.2500
Re: 0.5000 0.0000 0.0000
Re: 0.5000 0.5000 0.5000
Re: 0.7500 0.2500 0.2500
Re: 0.7500 0.7500 0.7500
Te: 0.2500 0.2500 0.2500
Te: 0.2500 0.7500 0.7500
Te: 0.7500 0.2500 0.7500
Te: 0.7500 0.7500 0.2500

Calculated values
Its uncorrected formation energy is 0.753 eV per atom.

# 2
MnTl2Cd after structural relaxation. Source: the Alexandria database, functional PBE.

abc: 3.2838 3.2838 8.9068
angles: 90.00 90.00 90.00
Atoms (fractional coordinates):
Mn: 0.0000 0.0000 0.0000
Tl: 0.0000 0.0000 0.5278
Tl: 0.5000 0.5000 0.2153
Cd: 0.5000 0.5000 0.8110

Calculated values
The calculation puts the energy above the most stable polymorph in this dataset at 0 meV per atom.

# 3
K2RbNaF4 after structural relaxation. Source: the Alexandria database, functional PBE.

abc: 6.7238 6.7238 13.1212
angles: 90.00 90.00 146.93
Atoms (fractional coordinates):
K: 0.1310 0.8690 0.5405
K: 0.1310 0.8690 0.9595
K: 0.8690 0.1310 0.0405
K: 0.8690 0.1310 0.4595
Rb: 0.3797 0.6203 0.7500
Rb: 0.6203 0.3797 0.2500
Na: 0.3562 0.6438 0.2500
Na: 0.6438 0.3562 0.7500
F: 0.0562 0.9438 0.7500
F: 0.2421 0.7579 0.1262
F: 0.2421 0.7579 0.3738
F: 0.5000 0.5000 0.0000
F: 0.5000 0.5000 0.5000
F: 0.7579 0.2421 0.6262
F: 0.7579 0.2421 0.8738
F: 0.9438 0.0562 0.2500

Calculated values
Its uncorrected formation energy is -2.663 eV per atom.

# 4
ZrAgI2N after structural relaxation. Source: the Alexandria database, functional PBE.

abc: 5.9841 5.9841 4.0153
angles: 90.00 90.00 90.00
Atoms (fractional coordinates):
Zr: 0.0000 0.0000 0.0000
Ag: 0.5000 0.5000 0.5000
I: 0.0000 0.5000 0.0000
I: 0.5000 0.0000 0.0000
N: 0.0000 0.0000 0.5000

Calculated values
The calculation puts the energy above the most stable polymorph in this dataset at 0 meV per atom. Its uncorrected formation energy is -0.093 eV per atom.

# 5
AcNd3Sm2 after structural relaxation. Source: the Alexandria database, functional PBE.

abc: 6.8949 6.8949 11.6872
angles: 115.01 115.01 63.46
Atoms (fractional coordinates):
Ac: 0.0012 0.9988 0.7500
Ac: 0.9988 0.0012 0.2500
Nd: 0.0871 0.5812 0.9173
Nd: 0.4188 0.9129 0.5827
Nd: 0.4993 0.5007 0.7500
Nd: 0.5007 0.4993 0.2500
Nd: 0.5812 0.0871 0.4173
Nd: 0.9129 0.4188 0.0827
Sm: 0.0847 0.5811 0.4166
Sm: 0.4189 0.9153 0.0834
Sm: 0.5811 0.0847 0.9166
Sm: 0.9153 0.4189 0.5834

Calculated values
The calculation puts the energy above the most stable polymorph in this dataset at 0 meV per atom.

# 6
Tm3ZrNi8 after structural relaxation. Source: the Alexandria database, functional PBE.

abc: 8.6708 8.6708 8.6708
angles: 33.49 33.49 33.49
Atoms (fractional coordinates):
Tm: 0.0000 0.0000 0.0000
Tm: 0.1255 0.1255 0.1255
Tm: 0.5011 0.5011 0.5011
Zr: 0.6252 0.6252 0.6252
Ni: 0.0601 0.5624 0.5624
Ni: 0.0635 0.0635 0.5660
Ni: 0.0635 0.5660 0.0635
Ni: 0.3132 0.3132 0.3132
Ni: 0.5624 0.0601 0.5624
Ni: 0.5624 0.5624 0.0601
Ni: 0.5660 0.0635 0.0635
Ni: 0.8129 0.8129 0.8129

Calculated values
The calculation puts the total energy at -6.156 eV/atom.

# 7
BeAg2As after structural relaxation. Source: the Alexandria database, functional PBE.

abc: 2.8123 4.2313 11.3332
angles: 90.00 90.00 90.00
Atoms (fractional coordinates):
Be: 0.0000 0.0000 0.0000
Be: 0.5000 0.5000 0.5000
Ag: 0.0000 0.0000 0.5149
Ag: 0.0000 0.5000 0.6898
Ag: 0.5000 0.0000 0.1898
Ag: 0.5000 0.5000 0.0149
As: 0.0000 0.5000 0.3280
As: 0.5000 0.0000 0.8280

Calculated values
The calculation puts the energy above the most stable polymorph in this dataset at 0 meV per atom.

# 8
PdS2BrO8 after structural relaxation. Source: the Alexandria database, functional PBE.

abc: 5.5440 5.5440 9.0666
angles: 112.88 112.88 55.39
Atoms (fractional coordinates):
Pd: 0.0000 0.0000 0.0000
S: 0.3265 0.3265 0.7930
S: 0.6735 0.6735 0.2070
Br: 0.0000 0.0000 0.5000
O: 0.1932 0.6621 0.8174
O: 0.2311 0.2311 0.6058
O: 0.2427 0.2427 0.8886
O: 0.3379 0.8068 0.1826
O: 0.6621 0.1932 0.8174
O: 0.7573 0.7573 0.1114
O: 0.7689 0.7689 0.3942
O: 0.8068 0.3379 0.1826

Calculated values
Its uncorrected formation energy is -0.789 eV per atom.